(1)
Material: TbPrHf
Method: DFT, GGA-PBE
State: relaxed

Cell lengths 4.709, 4.709, 8.388 Å; angles 90.00, 90.00, 90.00 degrees
Space group P4/nmm (No. 129, origin choice 2)
Symmetry-distinct sites (fractional):
Tb: 0.250 0.250 0.225 x2
Pr: 0.250 0.250 0.793 x2
Hf: 0.250 0.750 0.500 x2

Summary:
- Relative energy among the computed polymorphs: 0.098 eV/atom
- ΔE_f: 254 meV per atom
- E_tot: -18.602 eV per formula unit
- Crystal system: tetragonal
- Magnetization: 0.0 Bohr magnetons per cell
- N(E_F): 1.5175 states/eV per atom

=====

(2)
Material: HfMg2BiI
Method: DFT, GGA-PBE
State: relaxed

Cell lengths 5.407, 5.407, 5.351 Å; angles 90.00, 90.00, 90.00 degrees
Space group P4/mmm (No. 123)
Symmetry-distinct sites (fractional):
Hf: 0.000 0.000 0.000 x1
Mg: 0.000 0.500 0.500 x2
Bi: 0.500 0.500 0.000 x1
I: 0.000 0.000 0.500 x1

Summary:
- E_tot: -14.525 eV per formula unit
- Crystal system: tetragonal
- Magnetization: 0.0 Bohr magnetons per cell
- Uncorrected formation energy: 810 meV/atom
- N(E_F): 0.8681 states/eV per atom

=====

(3)
Material: CaMg2Tl
Method: DFT, GGA-PBE
State: relaxed

Cell lengths 4.705, 4.705, 9.836 Å; angles 90.00, 90.00, 90.00 degrees
Space group I4/mmm (No. 139)
Symmetry-distinct sites (fractional):
Ca: 0.000 0.000 0.000 x2
Mg: 0.000 0.500 0.250 x4
Tl: 0.000 0.000 0.500 x2

Summary:
- Relative energy among the computed polymorphs: 0.091 eV/atom
- ΔE_f: -116 meV per atom
- E_tot: -8.020 eV per formula unit
- Crystal system: tetragonal
- Magnetization: 0.0 Bohr magnetons per cell
- N(E_F): 0.6485 states/eV per atom

=====

(4)
Material: Tm6P2PdSe3
Method: DFT, GGA-PBE
State: relaxed

Cell lengths 17.553, 3.958, 8.102 Å; angles 90.00, 103.74, 90.00 degrees
Space group C2/m (No. 12)
Symmetry-distinct sites (fractional):
Tm: 0.005 0.000 0.243 x4
Tm: 0.166 0.500 0.098 x4
Tm: 0.172 0.500 0.572 x4
P: 0.167 0.000 0.336 x4
Pd: 0.000 0.500 0.000 x2
Se: 0.000 0.500 0.500 x2
Se: 0.168 0.000 0.832 x4

Summary:
- E_tot: -71.919 eV per formula unit
- Crystal system: monoclinic
- Magnetization: 0.0 Bohr magnetons per cell
- Uncorrected formation energy: -1552 meV/atom
- N(E_F): 0.5118 states/eV per atom

=====

(5)
Material: InCo2CuH
Method: DFT, GGA-PBE
State: relaxed

Cell lengths 3.736, 3.736, 3.867 Å; angles 90.00, 90.00, 90.00 degrees
Space group P4/mmm (No. 123)
Symmetry-distinct sites (fractional):
In: 0.000 0.000 0.000 x1
Co: 0.000 0.500 0.500 x2
Cu: 0.500 0.500 0.000 x1
H: 0.500 0.500 0.500 x1

Summary:
- E_tot: -23.795 eV per formula unit
- Crystal system: tetragonal
- Magnetization: 1.2 Bohr magnetons per cell
- N(E_F): 1.2830 states/eV per atom

=====

(6)
Material: Be3Au
Method: DFT, GGA-PBE
State: relaxed

Cell lengths 2.6796, 2.6796, 22.8398 Å; angles 90.00, 90.00, 120.00 degrees
Space group R-3m (No. 166, hexagonal axes)
Symmetry-distinct sites (fractional):
Be: 0.0000 0.0000 0.0000 x3
Be: 0.0000 0.0000 0.2590 x6
Au: 0.0000 0.0000 0.5000 x3

Summary:
- ΔE_f: 352 meV per atom
- E_tot: -13.049 eV per formula unit
- Crystal system: trigonal
- Magnetization: 0.0 Bohr magnetons per cell
- N(E_F): 0.2759 states/eV per atom